# 1
Entry from Alexandria via LeMat-Bulk: FeCo2HRu after structural relaxation (PBE).

Cell: 3.627 3.627 3.735 Å, 90.00 90.00 90.00°
Element x y z (fractional)
Ru (0.000, 0.000, 0.500)
Co (0.000, 0.500, 0.000)
Co (0.500, 0.000, 0.000)
Fe (0.500, 0.500, 0.500)
H (0.000, 0.000, 0.000)

Polymorph energy (0 for the lowest one) in kJ per mole of atoms: 0.00
Total moment in μB/f.u.: 4.10
SG: P4/mmm

***

# 2
Entry from Alexandria via LeMat-Bulk: FeCoHRu2 after structural relaxation (PBE).

Cell: 3.794 3.794 3.673 Å, 90.00 90.00 90.00°
Element x y z (fractional)
Ru (0.000, 0.500, 0.000)
Ru (0.500, 0.000, 0.000)
Co (0.500, 0.500, 0.500)
Fe (0.000, 0.000, 0.500)
H (0.000, 0.000, 0.000)

Polymorph energy (0 for the lowest one) in kJ per mole of atoms: 3.17
Total moment in μB/f.u.: 3.22
SG: P4/mmm

***

# 3
Entry from Alexandria via LeMat-Bulk: FeCoHRu2 after structural relaxation (PBE).

Cell: 3.818 3.818 3.621 Å, 90.00 90.00 90.00°
Element x y z (fractional)
Ru (0.000, 0.500, 0.000)
Ru (0.500, 0.000, 0.000)
Co (0.000, 0.000, 0.500)
Fe (0.500, 0.500, 0.500)
H (0.000, 0.000, 0.000)

Polymorph energy (0 for the lowest one) in kJ per mole of atoms: 0.00
Total moment in μB/f.u.: 2.93
SG: P4/mmm

***

# 4
Entry from Alexandria via LeMat-Bulk: Sc2FeCoH after structural relaxation (PBE).

Cell: 4.432 4.432 3.228 Å, 90.00 90.00 90.00°
Element x y z (fractional)
Sc (0.000, 0.500, 0.000)
Sc (0.500, 0.000, 0.000)
H (0.000, 0.000, 0.000)
Co (0.000, 0.000, 0.500)
Fe (0.500, 0.500, 0.500)

Polymorph energy (0 for the lowest one) in kJ per mole of atoms: 2.46
Total moment in μB/f.u.: 0.29
SG: P4/mmm

***

# 5
Entry from Alexandria via LeMat-Bulk: Sc2FeCoH after structural relaxation (PBE).

Cell: 4.433 4.433 3.226 Å, 90.00 90.00 90.00°
Element x y z (fractional)
Sc (0.000, 0.500, 0.000)
Sc (0.500, 0.000, 0.000)
H (0.000, 0.000, 0.000)
Co (0.500, 0.500, 0.500)
Fe (0.000, 0.000, 0.500)

Polymorph energy (0 for the lowest one) in kJ per mole of atoms: 0.00
Total moment in μB/f.u.: 0.32
SG: P4/mmm

***

# 6
Entry from Alexandria via LeMat-Bulk: Sr2FeCoH after structural relaxation (PBE).

Cell: 5.668 3.310 5.668 Å, 90.00 90.00 90.00°
Element x y z (fractional)
Sr (0.000, 0.000, 0.500)
Sr (0.500, 0.000, 0.000)
Co (0.000, 0.000, 0.000)
Fe (0.500, 0.500, 0.500)
H (0.000, 0.500, 0.000)

Total moment in μB/f.u.: 2.53
DFT total energy in eV per atom: -3.812
SG: P4/mmm

***

# 7
Entry from Alexandria via LeMat-Bulk: TaFeCo2H after structural relaxation (PBE).

Cell: 3.645 3.645 3.738 Å, 90.00 90.00 90.00°
Element x y z (fractional)
H (0.000, 0.000, 0.000)
Co (0.000, 0.500, 0.000)
Co (0.500, 0.000, 0.000)
Fe (0.000, 0.000, 0.500)
Ta (0.500, 0.500, 0.500)

Polymorph energy (0 for the lowest one) in kJ per mole of atoms: 0.00
Total moment in μB/f.u.: 0.00
SG: P4/mmm

***

# 8
Entry from Alexandria via LeMat-Bulk: TaFeCo2H after structural relaxation (PBE).

Cell: 3.626 3.626 3.906 Å, 90.00 90.00 90.00°
Element x y z (fractional)
H (0.000, 0.000, 0.000)
Co (0.000, 0.500, 0.000)
Co (0.500, 0.000, 0.000)
Fe (0.500, 0.500, 0.500)
Ta (0.000, 0.000, 0.500)

Polymorph energy (0 for the lowest one) in kJ per mole of atoms: 8.58
Total moment in μB/f.u.: 1.86
SG: P4/mmm

***

# 9
Entry from Alexandria via LeMat-Bulk: Ta2FeCoH after structural relaxation (PBE).

Cell: 4.101 4.101 3.508 Å, 90.00 90.00 90.00°
Element x y z (fractional)
H (0.000, 0.000, 0.000)
Co (0.500, 0.500, 0.500)
Fe (0.000, 0.000, 0.500)
Ta (0.000, 0.500, 0.000)
Ta (0.500, 0.000, 0.000)

Polymorph energy (0 for the lowest one) in kJ per mole of atoms: 1.85
Total moment in μB/f.u.: 0.20
SG: P4/mmm

***

# 10
Entry from Alexandria via LeMat-Bulk: Ta2FeCoH after structural relaxation (PBE).

Cell: 4.227 4.227 3.352 Å, 90.00 90.00 90.00°
Element x y z (fractional)
H (0.000, 0.000, 0.000)
Co (0.000, 0.000, 0.500)
Fe (0.500, 0.500, 0.500)
Ta (0.000, 0.500, 0.000)
Ta (0.500, 0.000, 0.000)

Polymorph energy (0 for the lowest one) in kJ per mole of atoms: 0.00
Total moment in μB/f.u.: 1.79
SG: P4/mmm

***

# 11
Entry from Alexandria via LeMat-Bulk: FeCoTc2H after structural relaxation (PBE).

Cell: 3.796 3.796 3.629 Å, 90.00 90.00 90.00°
Element x y z (fractional)
H (0.000, 0.000, 0.000)
Co (0.000, 0.000, 0.500)
Tc (0.000, 0.500, 0.000)
Tc (0.500, 0.000, 0.000)
Fe (0.500, 0.500, 0.500)

Polymorph energy (0 for the lowest one) in kJ per mole of atoms: 0.75
Total moment in μB/f.u.: 0.00
SG: P4/mmm

***

# 12
Entry from Alexandria via LeMat-Bulk: FeCoTc2H after structural relaxation (PBE).

Cell: 3.809 3.809 3.650 Å, 90.00 90.00 90.00°
Element x y z (fractional)
H (0.000, 0.000, 0.000)
Co (0.500, 0.500, 0.500)
Tc (0.000, 0.500, 0.000)
Tc (0.500, 0.000, 0.000)
Fe (0.000, 0.000, 0.500)

Polymorph energy (0 for the lowest one) in kJ per mole of atoms: 0.00
Total moment in μB/f.u.: 0.20
SG: P4/mmm

***

# 13
Entry from Alexandria via LeMat-Bulk: V2FeCoH after structural relaxation (PBE).

Cell: 3.783 3.783 3.429 Å, 90.00 90.00 90.00°
Element x y z (fractional)
H (0.000, 0.000, 0.000)
Co (0.500, 0.500, 0.500)
Fe (0.000, 0.000, 0.500)
V (0.000, 0.500, 0.000)
V (0.500, 0.000, 0.000)

Total moment in μB/f.u.: 0.00
DFT total energy in eV per atom: -7.517
SG: P4/mmm

***

# 14
Entry from Alexandria via LeMat-Bulk: VFe2CoH after structural relaxation (PBE).

Cell: 3.561 3.561 3.728 Å, 90.00 90.00 90.00°
Element x y z (fractional)
H (0.000, 0.000, 0.000)
Co (0.500, 0.500, 0.500)
Fe (0.000, 0.500, 0.000)
Fe (0.500, 0.000, 0.000)
V (0.000, 0.000, 0.500)

Polymorph energy (0 for the lowest one) in kJ per mole of atoms: 2.91
Total moment in μB/f.u.: 2.72
SG: P4/mmm

***

# 15
Entry from Alexandria via LeMat-Bulk: V2FeCoH after structural relaxation (PBE).

Cell: 3.789 3.789 3.433 Å, 90.00 90.00 90.00°
Element x y z (fractional)
H (0.000, 0.000, 0.000)
Co (0.000, 0.000, 0.500)
Fe (0.500, 0.500, 0.500)
V (0.000, 0.500, 0.000)
V (0.500, 0.000, 0.000)

Total moment in μB/f.u.: 0.26
DFT total energy in eV per atom: -7.516
SG: P4/mmm

***

# 16
Entry from Alexandria via LeMat-Bulk: VFe2CoH after structural relaxation (PBE).

Cell: 3.592 3.592 3.558 Å, 90.00 90.00 90.00°
Element x y z (fractional)
H (0.000, 0.000, 0.000)
Co (0.000, 0.000, 0.500)
Fe (0.000, 0.500, 0.000)
Fe (0.500, 0.000, 0.000)
V (0.500, 0.500, 0.500)

Polymorph energy (0 for the lowest one) in kJ per mole of atoms: 0.00
Total moment in μB/f.u.: 1.17
SG: P4/mmm

***

# 17
Entry from Alexandria via LeMat-Bulk: Fe2CoHW after structural relaxation (PBE).

Cell: 3.593 3.593 3.806 Å, 90.00 90.00 90.00°
Element x y z (fractional)
H (0.000, 0.000, 0.000)
Co (0.500, 0.500, 0.500)
Fe (0.000, 0.500, 0.000)
Fe (0.500, 0.000, 0.000)
W (0.000, 0.000, 0.500)

Polymorph energy (0 for the lowest one) in kJ per mole of atoms: 11.01
Total moment in μB/f.u.: 0.50
SG: P4/mmm

***

# 18
Entry from Alexandria via LeMat-Bulk: Fe2CoHW after structural relaxation (PBE).

Cell: 3.668 3.668 3.578 Å, 90.00 90.00 90.00°
Element x y z (fractional)
H (0.000, 0.000, 0.000)
Co (0.000, 0.000, 0.500)
Fe (0.000, 0.500, 0.000)
Fe (0.500, 0.000, 0.000)
W (0.500, 0.500, 0.500)

Polymorph energy (0 for the lowest one) in kJ per mole of atoms: 0.00
Total moment in μB/f.u.: 0.00
SG: P4/mmm

***

# 19
Entry from Alexandria via LeMat-Bulk: Y2FeCoH after structural relaxation (PBE).

Cell: 4.781 3.469 4.781 Å, 90.00 90.00 90.00°
Element x y z (fractional)
Y (0.000, 0.000, 0.500)
Y (0.500, 0.000, 0.000)
H (0.000, 0.000, 0.000)
Co (0.500, 0.500, 0.500)
Fe (0.000, 0.500, 0.000)

Total moment in μB/f.u.: 1.58
DFT total energy in eV per atom: -6.485
SG: P4/mmm

***

# 20
Entry from Alexandria via LeMat-Bulk: Zn2FeCoH after structural relaxation (PBE).

Cell: 3.952 3.952 3.338 Å, 90.00 90.00 90.00°
Element x y z (fractional)
H (0.000, 0.000, 0.000)
Zn (0.000, 0.500, 0.000)
Zn (0.500, 0.000, 0.000)
Co (0.500, 0.500, 0.500)
Fe (0.000, 0.000, 0.500)

Polymorph energy (0 for the lowest one) in kJ per mole of atoms: 2.04
Total moment in μB/f.u.: 2.67
SG: P4/mmm